! Tb5PmPr2Dy, optimized geometry, DFT PBE; values from VASP
&SYSTEM
  ibrav = 0, nat = 18, ntyp = 4
/
ATOMIC_SPECIES
Pr 140.91 Pr.upf
Tb 158.93 Tb.upf
Pm 145.00 Pm.upf
Dy 162.50 Dy.upf
CELL_PARAMETERS angstrom
8.722 0.000 0.000
0.000 8.722 0.000
-4.361 -4.361 7.900
ATOMIC_POSITIONS crystal
Pr 0.118 0.382 0.000
Pr 0.618 0.118 0.000
Pr 0.882 0.618 0.000
Pr 0.382 0.882 0.000
Tb 0.149 0.072 0.721
Tb 0.000 0.000 0.000
Tb 0.428 0.351 0.279
Tb 0.649 0.149 0.721
Tb 0.072 0.572 0.721
Tb 0.851 0.928 0.279
Tb 0.572 0.649 0.721
Tb 0.928 0.428 0.279
Tb 0.351 0.851 0.279
Tb 0.500 0.500 0.000
Pm 0.250 0.250 0.500
Pm 0.750 0.750 0.500
Dy 0.750 0.250 0.500
Dy 0.250 0.750 0.500
! Total DFT energy (no corrections) ... -0.324 Ry per atom
! Magnetic moment ... 0.000 μB/f.u.
! Calculated volume ... 33.4 Å³ per atom

! Tb4Pm2PrDy, optimized geometry, DFT PBE; values from VASP
&SYSTEM
  ibrav = 0, nat = 16, ntyp = 4
/
ATOMIC_SPECIES
Pm 145.00 Pm.upf
Dy 162.50 Dy.upf
Tb 158.93 Tb.upf
Pr 140.91 Pr.upf
CELL_PARAMETERS angstrom
-1.887 -3.719 -8.603
5.915 -7.345 1.569
-7.508 5.182 7.606
ATOMIC_POSITIONS crystal
Pm 0.500 0.000 0.500
Pm 0.500 0.500 0.000
Pm 0.500 0.000 0.000
Pm 0.000 0.000 0.500
Dy 0.000 0.000 0.000
Dy 0.500 0.500 0.500
Tb 0.247 0.754 0.001
Tb 0.748 0.749 0.996
Tb 0.746 0.253 0.499
Tb 0.252 0.251 0.004
Tb 0.254 0.747 0.501
Tb 0.751 0.752 0.504
Tb 0.249 0.248 0.496
Tb 0.753 0.246 0.999
Pr 0.000 0.500 0.500
Pr 0.000 0.500 0.000
! Total DFT energy (no corrections) ... -0.314 Ry per atom
! Magnetic moment ... 2.347 μB/f.u.
! Calculated volume ... 33.9 Å³ per atom